# SrNiAs2Os | the Alexandria database | PBE | optimized geometry
# Volume ... 111.1 Å³/f.u.
# Crystal system ... tetragonal
# Uncorrected energy ... -5.516 eV/atom
# ΔH_f (0 K) ... 0.08 eV per atom
data_SrNiAs2Os
_cell_length_a 4.813
_cell_length_b 4.813
_cell_length_c 4.797
_cell_angle_alpha 90.00
_cell_angle_beta 90.00
_cell_angle_gamma 90.00
_symmetry_space_group_name_H-M 'P 4/m m m'
_symmetry_Int_Tables_number 123
_symmetry_space_group_name_Hall '-P 4 2'
loop_
_atom_site_label
_atom_site_fract_x
_atom_site_fract_y
_atom_site_fract_z
Sr1 0.000 0.000 0.000
Ni1 0.500 0.500 0.000
As1 0.000 0.500 0.500
Os1 0.500 0.500 0.500